A plane-wave DFT calculation with PBE was carried out for a geometry-optimized PrBiPO structure.

Geometry as CIF:
```
data_PrBiPO
_cell_length_a 4.310
_cell_length_b 4.310
_cell_length_c 9.803
_cell_angle_alpha 90.00
_cell_angle_beta 90.00
_cell_angle_gamma 90.00
_space_group_name_H-M_alt 'P 1'
_space_group_IT_number 1
loop_
_space_group_symop_operation_xyz
'x,y,z'
loop_
_atom_site_label
_atom_site_type_symbol
_atom_site_fract_x
_atom_site_fract_y
_atom_site_fract_z
Pr1 Pr 0.250 0.250 0.108
Pr2 Pr 0.750 0.750 0.892
Bi1 Bi 0.250 0.750 0.500
Bi2 Bi 0.750 0.250 0.500
P1 P 0.250 0.250 0.727
P2 P 0.750 0.750 0.273
O1 O 0.250 0.750 0.000
O2 O 0.750 0.250 0.000
```

Properties
- DFT total energy: -48.470 eV/cell
- Size of the total moment: 0.0 μB/cell



A plane-wave DFT calculation with PBE was carried out for a geometry-optimized AgPdCl3 structure.

Geometry as CIF:
```
data_AgPdCl3
_cell_length_a 4.971
_cell_length_b 4.971
_cell_length_c 4.971
_cell_angle_alpha 90.00
_cell_angle_beta 90.00
_cell_angle_gamma 90.00
_space_group_name_H-M_alt 'P 1'
_space_group_IT_number 1
loop_
_space_group_symop_operation_xyz
'x,y,z'
loop_
_atom_site_label
_atom_site_type_symbol
_atom_site_fract_x
_atom_site_fract_y
_atom_site_fract_z
Ag1 Ag 0.000 0.000 0.000
Pd1 Pd 0.500 0.500 0.500
Cl1 Cl 0.000 0.000 0.500
Cl2 Cl 0.000 0.500 0.000
Cl3 Cl 0.500 0.000 0.000
```

Properties
- DFT total energy: -12.417 eV/cell



no.,V (Å³ per atom)
1,22.76
2,24.57